# 1
The following is a PBE calculation of a geometry-optimized La2NbAgN structure, from the Alexandria database.

Output
Formation energy from raw total energies, eV/atom: -0.51
Energy, eV per atom: -6.73
SG: P4/mmm, No. 123
M_tot, μB per atom: 0.21
D(E_F), states/eV/atom: 0.8059

```
La2NbAgN
1.0
5.281 0.000 0.000
0.000 5.281 0.000
0.000 0.000 4.149
La Nb Ag N
2 1 1 1
Direct
0.000 0.500 0.000
0.500 0.000 0.000
0.000 0.000 0.500
0.500 0.500 0.500
0.000 0.000 0.000
```

***

# 2
The following is a PBE calculation of a geometry-optimized La2NdAgN structure, from the Alexandria database.

Output
Formation energy from raw total energies, eV/atom: -0.60
Energy, eV per atom: -5.76
SG: P4/mmm, No. 123
M_tot, μB per atom: 0.00
D(E_F), states/eV/atom: 1.2156

```
La2NdAgN
1.0
5.093 0.000 0.000
0.000 5.093 0.000
0.000 0.000 5.021
La Nd Ag N
2 1 1 1
Direct
0.000 0.500 0.000
0.500 0.000 0.000
0.000 0.000 0.500
0.500 0.500 0.500
0.000 0.000 0.000
```

***

# 3
The following is a PBE calculation of a geometry-optimized LaNd2AgN structure, from the Alexandria database.

Output
Formation energy from raw total energies, eV/atom: -0.59
Energy, eV per atom: -5.72
SG: P4/mmm, No. 123
M_tot, μB per atom: 0.00
D(E_F), states/eV/atom: 1.1298

```
LaNd2AgN
1.0
5.016 0.000 0.000
0.000 5.016 0.000
0.000 0.000 5.087
La Nd Ag N
1 2 1 1
Direct
0.000 0.000 0.000
0.000 0.500 0.500
0.500 0.000 0.500
0.500 0.500 0.000
0.000 0.000 0.500
```

***

# 4
The following is a PBE calculation of a geometry-optimized La2AgOsN structure, from the Alexandria database.

Output
Formation energy from raw total energies, eV/atom: -0.58
Energy, eV per atom: -7.03
SG: P4/mmm, No. 123
M_tot, μB per atom: 0.00
D(E_F), states/eV/atom: 0.5489

```
La2AgOsN
1.0
5.332 0.000 0.000
0.000 5.332 0.000
0.000 0.000 3.848
La Ag Os N
2 1 1 1
Direct
0.000 0.500 0.000
0.500 0.000 0.000
0.000 0.000 0.500
0.500 0.500 0.500
0.500 0.500 0.000
```

***

# 5
The following is a PBE calculation of a geometry-optimized La2AgP2N6 structure, from the Alexandria database.

Output
Formation energy from raw total energies, eV/atom: -0.60
Energy, eV per atom: -7.28
SG: P-1, No. 2
M_tot, μB per atom: 0.00
D(E_F), states/eV/atom: 0.1468

```
La2AgP2N6
1.0
5.318 0.000 0.000
-2.243 5.561 0.000
-0.055 -2.968 5.516
La Ag P N
2 1 2 6
Direct
0.213 0.394 0.202
0.787 0.606 0.798
0.000 0.000 0.500
0.495 0.971 0.750
0.505 0.029 0.250
0.175 0.915 0.169
0.307 0.658 0.651
0.389 0.195 0.777
0.611 0.805 0.223
0.693 0.342 0.349
0.825 0.085 0.831
```

***

# 6
The following is a PBE calculation of a geometry-optimized LaAgPb2N structure, from the Alexandria database.

Output
Formation energy from raw total energies, eV/atom: 0.53
Energy, eV per atom: -4.17
SG: P4/mmm, No. 123
M_tot, μB per atom: 0.00
D(E_F), states/eV/atom: 0.6829

```
LaAgPb2N
1.0
5.911 0.000 0.000
0.000 5.911 0.000
0.000 0.000 3.897
La Ag Pb N
1 1 2 1
Direct
0.000 0.000 0.000
0.500 0.500 0.500
0.000 0.500 0.500
0.500 0.000 0.500
0.500 0.500 0.000
```